Below is a geometry-optimized PmPr2Ir structure, with properties calculated at the PBE level.

Values from the calculation:
- Excess energy over the best structure of this formula in the dataset: 386 meV per atom
- Symmetry: R-3m

Cell: 3.902 3.902 11.012 Å, 79.79 79.79 60.00°
Each line ends with the local moment (μB).
Positions (direct):
Pr1 0.887 0.887 0.340  0.05
Pr2 0.113 0.113 0.660  0.05
Ir1 0.500 0.500 0.500  0.01
Pm1 0.000 0.000 0.000  0.25


Below is a geometry-optimized Tl2CuSe2 structure, with properties calculated at the PBE level.

Values from the calculation:
- Symmetry: I4/mmm

Cell: 5.936 5.936 7.540 Å, 113.18 113.18 90.00°
Positions (direct):
Se1 0.821 0.821 0.642
Se2 0.179 0.179 0.358
Tl1 0.250 0.750 0.500
Tl2 0.750 0.250 0.500
Cu1 0.000 0.000 0.000


Below is a geometry-optimized CsAg2Se6S2 structure, with properties calculated at the PBE level.

Values from the calculation:
- Symmetry: P-1

Cell: 8.107 8.568 7.972 Å, 111.75 87.57 52.39°
Positions (direct):
S1 0.171 0.607 0.687
S2 0.829 0.393 0.313
Se1 0.128 0.422 0.071
Se2 0.872 0.578 0.929
Se3 0.357 0.643 0.866
Se4 0.994 0.141 0.418
Se5 0.643 0.357 0.134
Se6 0.006 0.859 0.582
Ag1 0.823 0.283 0.797
Ag2 0.177 0.717 0.203
Cs1 0.500 0.000 0.500


Below is a geometry-optimized Mg2ZnCdSe structure, with properties calculated at the PBE level.

Values from the calculation:
- Symmetry: P4/mmm

Cell: 5.146 4.982 5.146 Å, 90.00 90.00 90.00°
Positions (direct):
Mg1 0.000 0.000 0.500
Mg2 0.500 0.000 0.000
Se1 0.000 0.500 0.000
Cd1 0.500 0.500 0.500
Zn1 0.000 0.000 0.000


Below is a geometry-optimized Tm2PPd structure, with properties calculated at the PBE level.

Values from the calculation:
- Symmetry: R-3m

Cell: 3.665 3.665 8.771 Å, 77.94 77.94 60.00°
Positions (direct):
P1 0.500 0.500 0.500
Tm1 0.103 0.103 0.692
Tm2 0.897 0.897 0.308
Pd1 0.000 0.000 0.000


Below is a geometry-optimized ZnCdBr structure, with properties calculated at the PBE level.

Values from the calculation:
- Excess energy over the best structure of this formula in the dataset: 454 meV per atom
- Symmetry: F-43m

Cell: 5.167 5.167 5.167 Å, 60.00 60.00 60.00°
Positions (direct):
Cd1 0.000 0.000 0.000
Zn1 0.500 0.500 0.500
Br1 0.250 0.250 0.250


Below is a geometry-optimized Tl4Sn4Hg structure, with properties calculated at the PBE level.

Values from the calculation:
- Symmetry: P4_2/n

Cell: 6.296 9.264 9.264 Å, 90.00 90.00 90.00°
Positions (direct):
Sn1 0.872 0.399 0.680
Sn2 0.128 0.320 0.399
Sn3 0.128 0.680 0.601
Sn4 0.372 0.820 0.899
Sn5 0.872 0.601 0.320
Sn6 0.628 0.899 0.180
Sn7 0.628 0.101 0.820
Sn8 0.372 0.180 0.101
Tl1 0.143 0.922 0.332
Tl2 0.357 0.578 0.168
Tl3 0.357 0.422 0.832
Tl4 0.643 0.832 0.578
Tl5 0.857 0.668 0.922
Tl6 0.857 0.332 0.078
Tl7 0.643 0.168 0.422
Tl8 0.143 0.078 0.668
Hg1 0.000 0.000 0.000
Hg2 0.500 0.500 0.500


Below is a geometry-optimized Th4InIr structure, with properties calculated at the PBE level.

Values from the calculation:
- Excess energy over the best structure of this formula in the dataset: 246 meV per atom
- Symmetry: C2/c

Cell: 7.216 7.637 8.608 Å, 109.76 107.91 104.58°
Positions (direct):
Ir1 0.175 0.925 0.850
Ir2 0.825 0.075 0.150
Th1 0.264 0.940 0.556
Th2 0.554 0.282 0.098
Th3 0.792 0.616 0.556
Th4 0.208 0.384 0.444
Th5 0.044 0.817 0.098
Th6 0.446 0.718 0.902
Th7 0.956 0.183 0.902
Th8 0.736 0.060 0.444
In1 0.367 0.617 0.235
In2 0.633 0.383 0.765


Record-wise energy values, in eV per atom: -5.842, -3.326, -3.377, -1.611, -5.453, -1.033, -2.829, -7.056